Record 1
A relaxed MnFeBr crystal. Source: Alexandria via LeMat-Bulk, functional PBE-GGA.

Computed properties:
The calculation puts the total magnetization at 7.0 Bohr magnetons per cell. For the formation energy (no corrections), the calculation gives 0.53 eV per atom. As for the space group: Fmm2, No. 42. The value obtained for the volume is 53.5 Å³ per cell.

abc: 6.5265 6.2171 3.1281
angles: 81.36 70.35 28.28
With the nearest neighbours (Å) after each atom.
Sites, in units of the cell vectors:
1 Fe 0.3285 0.3285 0.6715  2 Mn 2.52, 2 Br 2.65
2 Br 0.9984 0.9984 0.0016  2 Fe 2.65, 2 Mn 2.70
3 Mn 0.6732 0.6732 0.3268  2 Fe 2.52, 2 Br 2.70

Record 2
A relaxed SmAg2SnTe4 crystal. Source: Alexandria via LeMat-Bulk, functional PBE-GGA.

Computed properties:
The calculation puts the total magnetization at 0.0 Bohr magnetons per cell. For the formation energy (no corrections), the calculation gives -0.49 eV per atom. As for the space group: P2/m, No. 10. The value obtained for the volume is 234.7 Å³ per cell.

abc: 4.4013 7.6880 7.3732
angles: 109.83 90.00 90.00
With the nearest neighbours (Å) after each atom.
Sites, in units of the cell vectors:
1 Sm 0.5000 0.5000 0.0000  6 Te 3.14-3.17
2 Te 0.0000 0.2431 0.7391  3 Ag 3.03-3.06, 1 Sn 3.10, 2 Sm 3.14
3 Te 0.0000 0.7569 0.2609  3 Ag 3.03-3.06, 1 Sn 3.10, 2 Sm 3.14
4 Sn 0.0000 0.0000 0.0000  6 Te 3.10-3.13
5 Te 0.5000 0.2502 0.2643  3 Ag 3.00-3.05, 2 Sn 3.13, 1 Sm 3.17
6 Ag 0.5000 0.0000 0.5000  6 Te 3.00-3.03
7 Ag 0.0000 0.5000 0.5000  6 Te 3.05-3.06
8 Te 0.5000 0.7498 0.7357  3 Ag 3.00-3.05, 2 Sn 3.13, 1 Sm 3.17

Record 3
A relaxed Sm3Ge5Te12 crystal. Source: Alexandria via LeMat-Bulk, functional PBE-GGA.

Computed properties:
The calculation puts the total magnetization at 0.0 Bohr magnetons per cell. For the formation energy (no corrections), the calculation gives -0.51 eV per atom. As for the space group: Ia-3d, No. 230. The value obtained for the volume is 2660.2 Å³ per cell.

abc: 15.1186 15.1186 15.1186
angles: 109.47 109.47 109.47
With the nearest neighbours (Å) after each atom.
Sites, in units of the cell vectors:
1 Ge 0.8750 0.6250 0.7500  4 Te 2.70
2 Ge 0.8750 0.2500 0.6250  4 Te 2.70
3 Te 0.9137 0.8243 0.7842  2 Ge 2.70-2.91
4 Te 0.0863 0.1757 0.2158  2 Ge 2.70-2.91
5 Te 0.4600 0.6757 0.0894  2 Ge 2.70-2.91
6 Te 0.7158 0.1294 0.0400  2 Ge 2.70-2.91
7 Sm 0.7500 0.3750 0.1250  8 Te 3.29-3.32
8 Te 0.4600 0.7842 0.8706  2 Ge 2.70-2.91
9 Te 0.1757 0.0894 0.9600  2 Ge 2.70-2.91
10 Te 0.8243 0.9137 0.2842  2 Ge 2.70-2.91
11 Te 0.8706 0.5863 0.9106  2 Ge 2.70-2.91
12 Ge 0.3750 0.2500 0.1250  4 Te 2.70
13 Te 0.3706 0.4106 0.0863  2 Ge 2.70-2.91
14 Te 0.8243 0.9106 0.0400  2 Ge 2.70-2.91
15 Te 0.1757 0.0863 0.7158  2 Ge 2.70-2.91
16 Sm 0.3750 0.7500 0.6250  8 Te 3.29-3.32
17 Te 0.0400 0.4106 0.8243  2 Ge 2.70-2.91
18 Ge 0.1250 0.7500 0.3750  4 Te 2.70
19 Te 0.3243 0.7842 0.4137  2 Ge 2.70-2.91
20 Ge 0.5000 0.0000 0.0000  6 Te 2.91
21 Sm 0.8750 0.7500 0.1250  8 Te 3.29-3.32
22 Ge 0.7500 0.1250 0.8750  4 Te 2.70
23 Te 0.5400 0.3243 0.9106  2 Ge 2.70-2.91
24 Te 0.5863 0.8706 0.4106  2 Ge 2.70-2.91
25 Te 0.3706 0.9600 0.7842  2 Ge 2.70-2.91
26 Ge 0.5000 0.5000 0.5000  6 Te 2.91
27 Te 0.9600 0.5894 0.1757  2 Ge 2.70-2.91
28 Te 0.0863 0.9106 0.3706  2 Ge 2.70-2.91
29 Ge 0.0000 0.0000 0.0000  6 Te 2.91
30 Sm 0.1250 0.8750 0.7500  8 Te 3.29-3.32
31 Te 0.9137 0.0894 0.6294  2 Ge 2.70-2.91
32 Te 0.4137 0.1294 0.5894  2 Ge 2.70-2.91
33 Sm 0.1250 0.2500 0.8750  8 Te 3.29-3.32
34 Sm 0.2500 0.1250 0.3750  8 Te 3.29-3.32
35 Sm 0.3750 0.6250 0.2500  8 Te 3.29-3.32
36 Te 0.7842 0.4600 0.3706  2 Ge 2.70-2.91
37 Te 0.7158 0.5863 0.1757  2 Ge 2.70-2.91
38 Te 0.7842 0.3243 0.9137  2 Ge 2.70-2.91
39 Te 0.5894 0.9600 0.6757  2 Ge 2.70-2.91
40 Ge 0.7500 0.6250 0.3750  4 Te 2.70
41 Te 0.5400 0.2158 0.1294  2 Ge 2.70-2.91
42 Ge 0.2500 0.3750 0.6250  4 Te 2.70
43 Te 0.6757 0.4600 0.5894  2 Ge 2.70-2.91
44 Ge 0.5000 0.5000 0.0000  6 Te 2.91
45 Te 0.9106 0.8243 0.5400  2 Ge 2.70-2.91
46 Te 0.0400 0.6294 0.7158  2 Ge 2.70-2.91
47 Ge 0.1250 0.3750 0.2500  4 Te 2.70
48 Ge 0.2500 0.8750 0.1250  4 Te 2.70
49 Te 0.5863 0.7158 0.6757  2 Ge 2.70-2.91
50 Ge 0.0000 0.0000 0.5000  6 Te 2.91
51 Sm 0.7500 0.8750 0.6250  8 Te 3.29-3.32
52 Te 0.6294 0.0400 0.2158  2 Ge 2.70-2.91
53 Ge 0.5000 0.0000 0.5000  6 Te 2.91
54 Te 0.4106 0.3706 0.5863  2 Ge 2.70-2.91
55 Sm 0.2500 0.6250 0.8750  8 Te 3.29-3.32
56 Te 0.0894 0.1757 0.4600  2 Ge 2.70-2.91
57 Te 0.2842 0.8706 0.9600  2 Ge 2.70-2.91
58 Te 0.1294 0.7158 0.5400  2 Ge 2.70-2.91
59 Te 0.4106 0.0400 0.3243  2 Ge 2.70-2.91
60 Te 0.8706 0.2842 0.4600  2 Ge 2.70-2.91
61 Te 0.5894 0.6294 0.4137  2 Ge 2.70-2.91
62 Te 0.0894 0.9137 0.1294  2 Ge 2.70-2.91
63 Sm 0.8750 0.1250 0.2500  8 Te 3.29-3.32
64 Te 0.3243 0.5400 0.4106  2 Ge 2.70-2.91
65 Te 0.2158 0.5400 0.6294  2 Ge 2.70-2.91
66 Sm 0.6250 0.3750 0.7500  8 Te 3.29-3.32
67 Ge 0.0000 0.5000 0.0000  6 Te 2.91
68 Te 0.1294 0.4137 0.0894  2 Ge 2.70-2.91
69 Te 0.9106 0.0863 0.8706  2 Ge 2.70-2.91
70 Te 0.2158 0.6757 0.0863  2 Ge 2.70-2.91
71 Ge 0.6250 0.7500 0.8750  4 Te 2.70
72 Te 0.9600 0.3706 0.2842  2 Ge 2.70-2.91
73 Ge 0.3750 0.1250 0.7500  4 Te 2.70
74 Ge 0.0000 0.5000 0.5000  6 Te 2.91
75 Te 0.2842 0.4137 0.8243  2 Ge 2.70-2.91
76 Ge 0.6250 0.8750 0.2500  4 Te 2.70
77 Te 0.6294 0.5894 0.9137  2 Ge 2.70-2.91
78 Te 0.4137 0.2842 0.3243  2 Ge 2.70-2.91
79 Te 0.6757 0.2158 0.5863  2 Ge 2.70-2.91
80 Sm 0.6250 0.2500 0.3750  8 Te 3.29-3.32

Record 4
A relaxed TiAlRh crystal. Source: Alexandria via LeMat-Bulk, functional PBE-GGA.

Computed properties:
The calculation puts the total magnetization at 0.0 Bohr magnetons per cell. As for the space group: P3m1, No. 156. The value obtained for the volume is 45.3 Å³ per cell. As for the energy relative to the elements: -675 meV per atom.

abc: 2.8409 4.2909 4.2909
angles: 120.00 90.00 90.00
With the nearest neighbours (Å) after each atom.
Sites, in units of the cell vectors:
1 Al 0.2512 0.6667 0.3333  3 Rh 2.55, 3 Ti 2.80, 2 Al 2.84
2 Rh 0.0379 0.0000 0.0000  3 Al 2.55, 3 Ti 2.65, 2 Rh 2.84
3 Ti 0.7109 0.3333 0.6667  3 Rh 2.65, 6 Al 2.80-2.91, 2 Ti 2.84

Which formula does entry 4 have? TiAlRh

Number 4 is which compound? TiAlRh